Record 1
## MgZr (PBE)

Data for crystalline MgZr at its relaxed geometry.

a b c (Å): 3.0541 3.0541 11.4919
angles (deg): 90.00 90.00 120.00
Space group P6_3mc (No. 186)
One atom of each set of equivalent atoms:
1 Mg 0.3333 0.6667 0.0000
2 Zr 0.3333 0.6667 0.7317

The value obtained for the raw total energy is -0.357 Ry/atom. Its formation energy is 0.211 eV per atom. Its crystal system is hexagonal.

Record 2
## MgZr (PBE)

Data for crystalline MgZr at its relaxed geometry.

a b c (Å): 11.5002 4.9539 6.3008
angles (deg): 90.00 90.00 90.00
Space group Pnma (No. 62)
One atom of each set of equivalent atoms:
1 Mg 0.0788 0.2500 0.0578
2 Mg 0.1683 0.7500 0.7956
3 Zr 0.0701 0.2500 0.5514
4 Zr 0.1858 0.7500 0.3067

The value obtained for the raw total energy is -0.367 Ry/atom. Its formation energy is 0.079 eV per atom. Its crystal system is orthorhombic.